Entry 1:
Computed, not measured: a relaxed structure of KMgOs2 at the PBE level of DFT.

The value obtained for the energy of formation from the pure elements is 0.877 eV per atom. The value obtained for the density of states at the Fermi level is 0.95 states/eV/atom. The theoretical density is 10.232 Mg/m³. The total energy is -5.41 eV per atom.

a = 2.691 Å, b = 2.691 Å, c = 9.945 Å
α = 90.00°, β = 90.00°, γ = 90.00°
Space group P4/mmm (No. 123)
Inequivalent atoms, fractional coordinates:
1 K 0.000 0.000 0.000
2 Mg 0.000 0.000 0.500
3 Os 0.500 0.500 0.287

Entry 2:
Computed, not measured: a relaxed structure of KMg2Os at the PBE level of DFT.

Its polymorph energy (0 for the lowest one) is 326.3 meV per atom. The value obtained for the energy of formation from the pure elements is 0.767 eV per atom. The value obtained for the density of states at the Fermi level is 0.55 states/eV/atom. The theoretical density is 5.786 Mg/m³. The total energy is -3.11 eV per atom.

a = 7.310 Å, b = 7.440 Å, c = 2.934 Å
α = 90.00°, β = 90.00°, γ = 90.00°
Space group Cmmm (No. 65)
Inequivalent atoms, fractional coordinates:
1 K 0.000 0.000 0.000
2 Mg 0.250 0.250 0.500
3 Os 0.000 0.500 0.000

Entry 3:
Computed, not measured: a relaxed structure of K3MgOs at the PBE level of DFT.

Its polymorph energy (0 for the lowest one) is 0.0 meV per atom. The value obtained for the energy of formation from the pure elements is 1.256 eV per atom. The value obtained for the density of states at the Fermi level is 1.10 states/eV/atom. The theoretical density is 2.213 Mg/m³. The total energy is -1.97 eV per atom.

a = 6.291 Å, b = 6.291 Å, c = 6.291 Å
α = 90.00°, β = 90.00°, γ = 90.00°
Space group Pm-3m (No. 221)
Inequivalent atoms, fractional coordinates:
1 K 0.000 0.000 0.500
2 Mg 0.500 0.500 0.500
3 Os 0.000 0.000 0.000

Entry 4:
Computed, not measured: a relaxed structure of KMgOs2 at the PBE level of DFT.

The value obtained for the energy of formation from the pure elements is 0.794 eV per atom. The value obtained for the density of states at the Fermi level is 0.83 states/eV/atom. The theoretical density is 10.571 Mg/m³. The total energy is -5.49 eV per atom.

a = 2.924 Å, b = 4.644 Å, c = 10.270 Å
α = 90.00°, β = 90.00°, γ = 90.00°
Space group Cmmm (No. 65)
Inequivalent atoms, fractional coordinates:
1 K 0.000 0.000 0.000
2 Mg 0.000 0.000 0.500
3 Os 0.000 0.500 0.281

Entry 5:
Computed, not measured: a relaxed structure of KMgOs2 at the PBE level of DFT.

The value obtained for the energy of formation from the pure elements is 1.171 eV per atom. The value obtained for the density of states at the Fermi level is 0.77 states/eV/atom. The theoretical density is 8.391 Mg/m³. The total energy is -5.12 eV per atom.

a = 3.376 Å, b = 3.376 Å, c = 7.707 Å
α = 90.00°, β = 90.00°, γ = 90.00°
Space group P4/mmm (No. 123)
Inequivalent atoms, fractional coordinates:
1 K 0.000 0.000 0.000
2 Mg 0.000 0.000 0.500
3 Os 0.500 0.500 0.348

Entry 6:
Computed, not measured: a relaxed structure of KMgOs2 at the PBE level of DFT.

The value obtained for the energy of formation from the pure elements is 0.934 eV per atom. The value obtained for the density of states at the Fermi level is 0.98 states/eV/atom. The theoretical density is 8.350 Mg/m³. The total energy is -5.35 eV per atom.

a = 2.709 Å, b = 4.798 Å, c = 6.831 Å
α = 90.00°, β = 96.28°, γ = 90.00°
Space group P2/m (No. 10)
Inequivalent atoms, fractional coordinates:
1 K 0.000 0.000 0.000
2 Mg 0.500 0.000 0.500
3 Os 0.279 0.500 0.656

Entry 7:
Computed, not measured: a relaxed structure of KMgOs2 at the PBE level of DFT.

The value obtained for the energy of formation from the pure elements is 1.319 eV per atom. The value obtained for the density of states at the Fermi level is 1.15 states/eV/atom. The theoretical density is 10.144 Mg/m³. The total energy is -4.97 eV per atom.

a = 3.847 Å, b = 3.847 Å, c = 9.818 Å
α = 90.00°, β = 90.00°, γ = 90.00°
Space group I4/mmm (No. 139)
Inequivalent atoms, fractional coordinates:
1 K 0.000 0.000 0.000
2 Mg 0.000 0.000 0.500
3 Os 0.000 0.500 0.250

Entry 8:
Computed, not measured: a relaxed structure of K2MgOs at the PBE level of DFT.

The value obtained for the energy of formation from the pure elements is 1.037 eV per atom. The value obtained for the density of states at the Fermi level is 0.61 states/eV/atom. The theoretical density is 5.052 Mg/m³. The total energy is -2.72 eV per atom.

a = 3.0065 Å, b = 3.0065 Å, c = 36.8756 Å
α = 90.00°, β = 90.00°, γ = 120.00°
Space group R-3m (No. 166, hexagonal axes)
Inequivalent atoms, fractional coordinates:
1 K 0.0000 0.0000 0.2411
2 Mg 0.0000 0.0000 0.0000
3 Os 0.0000 0.0000 0.5000

Entry 9:
Computed, not measured: a relaxed structure of KMgOs2 at the PBE level of DFT.

The value obtained for the energy of formation from the pure elements is 0.742 eV per atom. The value obtained for the density of states at the Fermi level is 0.69 states/eV/atom. The theoretical density is 10.581 Mg/m³. The total energy is -5.55 eV per atom.

a = 2.7954 Å, b = 2.7954 Å, c = 30.8787 Å
α = 90.00°, β = 90.00°, γ = 120.00°
Space group R-3m (No. 166, hexagonal axes)
Inequivalent atoms, fractional coordinates:
1 K 0.0000 0.0000 0.0000
2 Mg 0.0000 0.0000 0.5000
3 Os 0.0000 0.0000 0.2392

Entry 10:
Computed, not measured: a relaxed structure of K4MgOs at the PBE level of DFT.

The value obtained for the energy of formation from the pure elements is 1.248 eV per atom. The value obtained for the density of states at the Fermi level is 0.87 states/eV/atom. The theoretical density is 2.600 Mg/m³. The total energy is -1.62 eV per atom.

a = 9.822 Å, b = 9.822 Å, c = 9.822 Å
α = 90.00°, β = 90.00°, γ = 90.00°
Space group F-43m (No. 216)
Inequivalent atoms, fractional coordinates:
1 K 0.123 0.123 0.377
2 Mg 0.000 0.000 0.000
3 Os 0.250 0.250 0.750

Entry 11:
Computed, not measured: a relaxed structure of KMgOs2 at the PBE level of DFT.

The value obtained for the energy of formation from the pure elements is 0.973 eV per atom. The value obtained for the density of states at the Fermi level is 1.08 states/eV/atom. The theoretical density is 10.434 Mg/m³. The total energy is -5.32 eV per atom.

a = 11.602 Å, b = 2.771 Å, c = 4.822 Å
α = 90.00°, β = 114.28°, γ = 90.00°
Space group C2/m (No. 12)
Inequivalent atoms, fractional coordinates:
1 K 0.000 0.000 0.000
2 Mg 0.000 0.500 0.500
3 Os 0.224 0.000 0.724

Entry 12:
Computed, not measured: a relaxed structure of KMgOs2 at the PBE level of DFT.

The value obtained for the energy of formation from the pure elements is 0.549 eV per atom. The value obtained for the density of states at the Fermi level is 1.05 states/eV/atom. The theoretical density is 8.619 Mg/m³. The total energy is -5.74 eV per atom.

a = 2.954 Å, b = 2.954 Å, c = 9.799 Å
α = 90.00°, β = 90.00°, γ = 90.00°
Space group P4mm (No. 99)
Inequivalent atoms, fractional coordinates:
1 K 0.000 0.000 0.000
2 Mg 0.500 0.500 0.372
3 Os 0.000 0.000 0.569
4 Os 0.500 0.500 0.721

Entry 13:
Computed, not measured: a relaxed structure of KMg2Os at the PBE level of DFT.

Its polymorph energy (0 for the lowest one) is 275.7 meV per atom. The value obtained for the energy of formation from the pure elements is 0.717 eV per atom. The value obtained for the density of states at the Fermi level is 1.08 states/eV/atom. The theoretical density is 4.612 Mg/m³. The total energy is -3.16 eV per atom.

a = 2.789 Å, b = 5.925 Å, c = 12.109 Å
α = 90.00°, β = 90.00°, γ = 90.00°
Space group Immm (No. 71)
Inequivalent atoms, fractional coordinates:
1 K 0.000 0.000 0.000
2 Mg 0.000 0.500 0.193
3 Os 0.000 0.000 0.500

Entry 14:
Computed, not measured: a relaxed structure of K2MgOs at the PBE level of DFT.

The value obtained for the energy of formation from the pure elements is 1.175 eV per atom. The value obtained for the density of states at the Fermi level is 0.76 states/eV/atom. The theoretical density is 4.908 Mg/m³. The total energy is -2.58 eV per atom.

a = 4.189 Å, b = 4.189 Å, c = 5.645 Å
α = 90.00°, β = 90.00°, γ = 90.00°
Space group P4/mmm (No. 123)
Inequivalent atoms, fractional coordinates:
1 K 0.000 0.500 0.000
2 Mg 0.000 0.000 0.500
3 Os 0.500 0.500 0.500

Entry 15:
Computed, not measured: a relaxed structure of K2MgOs at the PBE level of DFT.

The value obtained for the energy of formation from the pure elements is 1.164 eV per atom. The value obtained for the density of states at the Fermi level is 0.80 states/eV/atom. The theoretical density is 4.913 Mg/m³. The total energy is -2.59 eV per atom.

a = 4.201 Å, b = 4.201 Å, c = 11.211 Å
α = 90.00°, β = 90.00°, γ = 90.00°
Space group I4/mmm (No. 139)
Inequivalent atoms, fractional coordinates:
1 K 0.000 0.500 0.250
2 Mg 0.000 0.000 0.000
3 Os 0.000 0.000 0.500

Number 1: V 18.01 A^3/atom. Number 2: V 19.94 A^3/atom. Number 3: V 49.80 A^3/atom. Number 4: V 17.43 A^3/atom. Number 5: V 21.96 A^3/atom. Number 6: V 22.07 A^3/atom. Number 7: V 18.17 A^3/atom. Number 8: V 24.06 A^3/atom. Number 9: V 17.41 A^3/atom. Number 10: V 39.48 A^3/atom. Number 11: V 17.66 A^3/atom. Number 12: V 21.38 A^3/atom. Number 13: V 25.02 A^3/atom. Number 14: V 24.76 A^3/atom. Number 15: V 24.73 A^3/atom.